[1]
This record from Alexandria describes a relaxed structure of RbNbS3. The functional is PBE.

Computed properties:
Mass density: 3.2 g/cm³
M_tot: 0.0 Bohr magnetons per cell
Crystal system: monoclinic
Polymorph energy (0 for the lowest one): 36 kJ/mol of formula units
Formation energy (no corrections): -1009 meV/atom
E_tot: -113.86 eV/cell

```
RbNbS3
1.0
7.0373 -6.7522 0.0000
7.0373 6.7522 0.0000
-0.2195 0.0000 6.0741
Rb Nb S
4 4 12
direct
0.1026 0.2876 0.1194
0.2876 0.1026 0.6194
0.7124 0.8974 0.3806
0.8974 0.7124 0.8806
0.2666 0.7334 0.2500
0.4206 0.5794 0.7500
0.5794 0.4206 0.2500
0.7334 0.2666 0.7500
0.0556 0.7309 0.3954
0.2049 0.5858 0.9191
0.2691 0.9444 0.1046
0.3339 0.4709 0.4111
0.4142 0.7951 0.5809
0.4709 0.3339 0.9111
0.5291 0.6661 0.0889
0.5858 0.2049 0.4191
0.6661 0.5291 0.5889
0.7309 0.0556 0.8954
0.7951 0.4142 0.0809
0.9444 0.2691 0.6046
```

=====

[2]
This record from Alexandria describes a relaxed structure of Rb3Nb2S11. The functional is PBE.

Computed properties:
Mass density: 2.8 g/cm³
M_tot: 0.0 Bohr magnetons per cell
Crystal system: monoclinic
Formation energy (no corrections): -844 meV/atom
E_tot: -327.80 eV/cell

```
Rb3Nb2S11
1.0
12.0877 0.0000 0.0000
0.0000 8.1505 0.0000
-4.4858 0.0000 19.2326
Rb Nb S
12 8 44
direct
0.0058 0.1697 0.1597
0.0058 0.3303 0.6597
0.2354 0.6928 0.1103
0.2354 0.8072 0.6103
0.4611 0.6612 0.3569
0.4611 0.8388 0.8569
0.5389 0.1612 0.1431
0.5389 0.3388 0.6431
0.7646 0.1928 0.3897
0.7646 0.3072 0.8897
0.9942 0.6697 0.3403
0.9942 0.8303 0.8403
0.1953 0.2286 0.9918
0.1953 0.2714 0.4918
0.2874 0.1424 0.3353
0.2874 0.3576 0.8353
0.7126 0.6424 0.1647
0.7126 0.8576 0.6647
0.8047 0.7286 0.5082
0.8047 0.7714 0.0082
0.0022 0.6246 0.5129
0.0022 0.8754 0.0129
0.0823 0.0181 0.4514
0.0823 0.4819 0.9514
0.1044 0.2284 0.8388
0.1044 0.2716 0.3388
0.1991 0.1066 0.7780
0.1991 0.3934 0.2780
0.2357 0.5695 0.7626
0.2357 0.9305 0.2626
0.2457 0.5532 0.4663
0.2457 0.9468 0.9663
0.2522 0.0033 0.4460
0.2522 0.4967 0.9460
0.2577 0.2336 0.6065
0.2577 0.2664 0.1065
0.3642 0.1265 0.9552
0.3642 0.3735 0.4552
0.4740 0.2301 0.3143
0.4740 0.2699 0.8143
0.4823 0.0789 0.4005
0.4823 0.4211 0.9005
0.5177 0.5789 0.0995
0.5177 0.9211 0.5995
0.5260 0.7301 0.1857
0.5260 0.7699 0.6857
0.6358 0.6265 0.5448
0.6358 0.8735 0.0448
0.7423 0.7336 0.8935
0.7423 0.7664 0.3935
0.7478 0.5033 0.0540
0.7478 0.9967 0.5540
0.7543 0.0532 0.0337
0.7543 0.4468 0.5337
0.7643 0.0695 0.7374
0.7643 0.4305 0.2374
0.8009 0.6066 0.7220
0.8009 0.8934 0.2220
0.8956 0.7284 0.6612
0.8956 0.7716 0.1612
0.9177 0.5181 0.0486
0.9177 0.9819 0.5486
0.9978 0.1246 0.9871
0.9978 0.3754 0.4871
```

=====

[3]
This record from Alexandria describes a relaxed structure of RbNbS3. The functional is PBE.

Computed properties:
Mass density: 2.7 g/cm³
M_tot: 0.0 Bohr magnetons per cell
Crystal system: orthorhombic
Polymorph energy (0 for the lowest one): 22 kJ/mol of formula units
Formation energy (no corrections): -1038 meV/atom
E_tot: -114.43 eV/cell

```
RbNbS3
1.0
6.0693 0.0000 0.0000
0.0000 13.5018 0.0000
0.0000 0.0000 8.2767
Rb Nb S
4 4 12
direct
0.0000 0.0000 0.0000
0.0000 0.5000 0.0000
0.5000 0.0000 0.5000
0.5000 0.5000 0.5000
0.2012 0.2500 0.2979
0.2988 0.7500 0.7979
0.7012 0.2500 0.2021
0.7988 0.7500 0.7021
0.0154 0.2500 0.0261
0.0159 0.6217 0.6182
0.0159 0.8783 0.6182
0.4841 0.1217 0.1182
0.4841 0.3783 0.1182
0.4846 0.7500 0.5261
0.5154 0.2500 0.4739
0.5159 0.6217 0.8818
0.5159 0.8783 0.8818
0.9841 0.1217 0.3818
0.9841 0.3783 0.3818
0.9846 0.7500 0.9739
```

=====

[4]
This record from Alexandria describes a relaxed structure of RbNbS3. The functional is PBE.

Computed properties:
Mass density: 3.1 g/cm³
M_tot: 0.0 Bohr magnetons per cell
Crystal system: orthorhombic
Polymorph energy (0 for the lowest one): 61 kJ/mol of formula units
Formation energy (no corrections): -958 meV/atom
E_tot: -56.42 eV/cell

```
RbNbS3
1.0
3.4943 0.0000 0.0000
0.0000 9.0166 0.0000
0.0000 0.0000 9.2574
Rb Nb S
2 2 6
direct
0.2500 0.2500 0.1921
0.7500 0.7500 0.8079
0.2500 0.7500 0.2512
0.7500 0.2500 0.7488
0.2500 0.0714 0.8234
0.2500 0.4286 0.8234
0.2500 0.7500 0.4872
0.7500 0.2500 0.5128
0.7500 0.5714 0.1766
0.7500 0.9286 0.1766
```

=====

[5]
This record from Alexandria describes a relaxed structure of Rb2Nb2S. The functional is PBE.

Computed properties:
Mass density: 4.6 g/cm³
M_tot: 3.9 Bohr magnetons per cell
Crystal system: tetragonal
Polymorph energy (0 for the lowest one): 37 kJ/mol of formula units
Formation energy (no corrections): 470 meV/atom
E_tot: -47.70 eV/cell

```
Rb2Nb2S
1.0
6.4781 0.0000 0.0000
0.0000 6.4781 0.0000
0.0000 0.0000 6.6562
Rb Nb S
4 4 2
direct
0.1887 0.3113 0.0000
0.3113 0.8113 0.0000
0.6887 0.1887 0.0000
0.8113 0.6887 0.0000
0.1561 0.6561 0.5000
0.3439 0.1561 0.5000
0.6561 0.8439 0.5000
0.8439 0.3439 0.5000
0.0000 0.0000 0.5000
0.5000 0.5000 0.5000
```

=====

[6]
This record from Alexandria describes a relaxed structure of Rb2NbSbS. The functional is PBE.

Computed properties:
Mass density: 3.5 g/cm³
M_tot: 4.3 Bohr magnetons per cell
Crystal system: tetragonal
Formation energy (no corrections): 698 meV/atom
E_tot: -16.77 eV/cell

```
Rb2NbSbS
1.0
6.0667 0.0000 0.0000
0.0000 6.0667 0.0000
0.0000 0.0000 5.3899
Rb Nb Sb S
2 1 1 1
direct
0.0000 0.5000 0.0000
0.5000 0.0000 0.0000
0.0000 0.0000 0.5000
0.5000 0.5000 0.5000
0.5000 0.5000 0.0000
```